Record 1
A plane-wave DFT calculation with PBE was carried out for an optimized crystal structure of Sc2CoAs.

- VASP energy: -26.4 eV/cell
- Crystal system: tetragonal
- Symmetry: P4mm, No. 99

abc: 3.739 3.739 5.452
angles: 90.00 90.00 90.00
Sites, in units of the cell vectors:
Sc 0.000 0.000 0.000
Sc 0.500 0.500 0.370
Co 0.500 0.500 0.921
As 0.000 0.000 0.502



Record 2
A plane-wave DFT calculation with PBE was carried out for an optimized crystal structure of VCoMo2I.

- Crystal system: tetragonal
- Symmetry: P4/mmm, No. 123
- Formation energy (no corrections): 11.497 eV/f.u.

abc: 4.866 4.866 4.739
angles: 90.00 90.00 90.00
Sites, in units of the cell vectors:
V 0.000 0.000 0.000
Co 0.500 0.500 0.000
Mo 0.000 0.500 0.500
Mo 0.500 0.000 0.500
I 0.000 0.000 0.500



Record 3
A plane-wave DFT calculation with PBE was carried out for an optimized crystal structure of PuInH8Rh2.

- VASP energy: -58.2 eV/cell
- Crystal system: trigonal
- Symmetry: R-3, No. 148

abc: 8.240 8.240 8.240
angles: 28.38 28.38 28.38
Sites, in units of the cell vectors:
Pu 0.000 0.000 0.000
In 0.500 0.500 0.500
H 0.165 0.323 0.776
H 0.224 0.835 0.677
H 0.314 0.314 0.314
H 0.323 0.776 0.165
H 0.677 0.224 0.835
H 0.686 0.686 0.686
H 0.776 0.165 0.323
H 0.835 0.677 0.224
Rh 0.242 0.242 0.242
Rh 0.758 0.758 0.758



Number 1: total magnetic moment 0.000 μB/atom. Number 2: total magnetic moment 0.735 μB/atom. Number 3: total magnetic moment 0.466 μB/atom.